# 1
! KBeGa2 GGA-PBE relaxed; values from VASP
&SYSTEM
  ibrav = 0, nat = 8, ntyp = 3
/
ATOMIC_SPECIES
K 39.10 K.upf
Be 9.01 Be.upf
Ga 69.72 Ga.upf
ATOMIC_POSITIONS crystal
K 0.138 0.242 0.414
K 0.862 0.758 0.586
Be 0.077 0.649 0.046
Be 0.923 0.351 0.954
Ga 0.269 0.982 0.919
Ga 0.445 0.377 0.841
Ga 0.555 0.623 0.159
Ga 0.731 0.018 0.081
CELL_PARAMETERS angstrom
4.560 0.000 0.000
1.143 6.014 0.000
1.041 0.276 6.651
! * space group: P-1, No. 2
! * DOS(E_F): 0.2716 states/eV/atom
! * E_form: 49 meV/atom
! * total magnetic moment: 0.00 μB/atom

=====

# 2
! NdDyHoZn GGA-PBE relaxed; values from VASP
&SYSTEM
  ibrav = 0, nat = 16, ntyp = 4
/
ATOMIC_SPECIES
Nd 144.24 Nd.upf
Dy 162.50 Dy.upf
Ho 164.93 Ho.upf
Zn 65.41 Zn.upf
ATOMIC_POSITIONS crystal
Nd 0.000 0.000 0.000
Nd 0.000 0.500 0.500
Nd 0.500 0.000 0.500
Nd 0.500 0.500 0.000
Dy 0.000 0.000 0.500
Dy 0.000 0.500 0.000
Dy 0.500 0.000 0.000
Dy 0.500 0.500 0.500
Ho 0.250 0.250 0.250
Ho 0.250 0.750 0.750
Ho 0.750 0.250 0.750
Ho 0.750 0.750 0.250
Zn 0.250 0.250 0.750
Zn 0.250 0.750 0.250
Zn 0.750 0.250 0.250
Zn 0.750 0.750 0.750
CELL_PARAMETERS angstrom
7.613 0.000 0.000
0.000 7.613 0.000
0.000 0.000 7.613
! * offset from the most stable computed form: 206 meV per atom
! * space group: F-43m, No. 216
! * DOS(E_F): 1.2879 states/eV/atom
! * E_form: 42 meV/atom
! * total magnetic moment: 0.00 μB/atom

=====

# 3
! TaCr2Cl GGA-PBE relaxed; values from VASP
&SYSTEM
  ibrav = 0, nat = 8, ntyp = 3
/
ATOMIC_SPECIES
Ta 180.95 Ta.upf
Cr 52.00 Cr.upf
Cl 35.45 Cl.upf
ATOMIC_POSITIONS crystal
Ta 0.000 0.000 0.000
Ta 0.500 0.500 0.500
Cr 0.000 0.500 0.250
Cr 0.000 0.500 0.750
Cr 0.500 0.000 0.250
Cr 0.500 0.000 0.750
Cl 0.000 0.000 0.500
Cl 0.500 0.500 0.000
CELL_PARAMETERS angstrom
3.940 0.000 0.000
0.000 3.940 0.000
0.000 0.000 7.946
! * offset from the most stable computed form: 846 meV per atom
! * space group: I4/mmm, No. 139
! * DOS(E_F): 1.3508 states/eV/atom
! * raw formation energy: 935 meV/atom
! * total magnetic moment: 1.06 μB/atom

=====

# 4
! Ti7NiPd12 GGA-PBE relaxed; values from VASP
&SYSTEM
  ibrav = 0, nat = 20, ntyp = 3
/
ATOMIC_SPECIES
Ti 47.87 Ti.upf
Ni 58.69 Ni.upf
Pd 106.42 Pd.upf
ATOMIC_POSITIONS crystal
Ti 0.000 0.000 0.000
Ti 0.173 0.627 0.490
Ti 0.373 0.510 0.827
Ti 0.490 0.173 0.627
Ti 0.510 0.827 0.373
Ti 0.627 0.490 0.173
Ti 0.827 0.373 0.510
Ni 0.500 0.500 0.500
Pd 0.104 0.820 0.273
Pd 0.125 0.229 0.432
Pd 0.180 0.727 0.896
Pd 0.229 0.432 0.125
Pd 0.273 0.104 0.820
Pd 0.432 0.125 0.229
Pd 0.568 0.875 0.771
Pd 0.727 0.896 0.180
Pd 0.771 0.568 0.875
Pd 0.820 0.273 0.104
Pd 0.875 0.771 0.568
Pd 0.896 0.180 0.727
CELL_PARAMETERS angstrom
5.803 3.350 2.693
-5.803 3.350 2.693
0.000 -6.701 2.693
! * space group: R-3, No. 148
! * DOS(E_F): 0.8070 states/eV/atom
! * E_form: -434 meV/atom
! * total magnetic moment: 0.11 μB/atom

=====

# 5
! PrNdSmZn GGA-PBE relaxed; values from VASP
&SYSTEM
  ibrav = 0, nat = 4, ntyp = 4
/
ATOMIC_SPECIES
Pr 140.91 Pr.upf
Nd 144.24 Nd.upf
Sm 150.36 Sm.upf
Zn 65.41 Zn.upf
ATOMIC_POSITIONS crystal
Pr 0.000 0.000 0.000
Nd 0.500 0.500 0.702
Sm 0.500 0.500 0.293
Zn 0.000 0.000 0.492
CELL_PARAMETERS angstrom
3.679 0.000 0.000
0.000 3.679 0.000
0.000 0.000 8.866
! * offset from the most stable computed form: 0 meV per atom
! * space group: P4mm, No. 99
! * DOS(E_F): 1.0786 states/eV/atom
! * E_form: -153 meV/atom
! * total magnetic moment: 0.00 μB/atom

=====

# 6
! GaSiRh GGA-PBE relaxed; values from VASP
&SYSTEM
  ibrav = 0, nat = 12, ntyp = 3
/
ATOMIC_SPECIES
Ga 69.72 Ga.upf
Si 28.09 Si.upf
Rh 102.91 Rh.upf
ATOMIC_POSITIONS crystal
Ga 0.024 0.231 0.236
Ga 0.024 0.269 0.736
Ga 0.976 0.731 0.264
Ga 0.976 0.769 0.764
Si 0.471 0.667 0.384
Si 0.471 0.833 0.884
Si 0.529 0.167 0.116
Si 0.529 0.333 0.616
Rh 0.262 0.515 0.048
Rh 0.262 0.985 0.548
Rh 0.738 0.015 0.452
Rh 0.738 0.485 0.952
CELL_PARAMETERS angstrom
5.435 0.000 0.000
0.000 5.729 0.000
-0.831 0.000 6.276
! * space group: P2_1/c, No. 14
! * DOS(E_F): 0.3265 states/eV/atom
! * raw formation energy: -449 meV/atom
! * total magnetic moment: 0.00 μB/atom

=====

Question: Which value of DOS(E_F) does entry 1 give?
Answer: 0.2716 states/eV/atom

=====

What did the first record say?
! KBeGa2 GGA-PBE relaxed; values from VASP
&SYSTEM
  ibrav = 0, nat = 8, ntyp = 3
/
ATOMIC_SPECIES
K 39.10 K.upf
Be 9.01 Be.upf
Ga 69.72 Ga.upf
ATOMIC_POSITIONS crystal
K 0.138 0.242 0.414
K 0.862 0.758 0.586
Be 0.077 0.649 0.046
Be 0.923 0.351 0.954
Ga 0.269 0.982 0.919
Ga 0.445 0.377 0.841
Ga 0.555 0.623 0.159
Ga 0.731 0.018 0.081
CELL_PARAMETERS angstrom
4.560 0.000 0.000
1.143 6.014 0.000
1.041 0.276 6.651
! * space group: P-1, No. 2
! * DOS(E_F): 0.2716 states/eV/atom
! * E_form: 49 meV/atom
! * total magnetic moment: 0.00 μB/atom

=====

Question: DOS(E_F) of number 6 (GaSiRh)?
Answer: 0.3265 states/eV/atom

=====

Question: Number 1 is which compound?
Answer: KBeGa2